## P
## CaNi4Ge (PBE)

Data for crystalline CaNi4Ge at its relaxed geometry.

Results
ρ in g/cm³: 6.68

Lattice parameters (Å, degrees): 7.595 7.595 6.294 90.00 90.00 151.58
Atoms (fractional coordinates):
Ca  0.104  0.896  0.750
Ca  0.896  0.104  0.250
Ni  0.080  0.920  0.250
Ni  0.325  0.675  0.558
Ni  0.325  0.675  0.942
Ni  0.500  0.500  0.000
Ni  0.500  0.500  0.500
Ni  0.675  0.325  0.058
Ni  0.675  0.325  0.442
Ni  0.920  0.080  0.750
Ge  0.237  0.763  0.250
Ge  0.763  0.237  0.750

---

## Q
## CaNi4Ge (PBE)

Data for crystalline CaNi4Ge at its relaxed geometry.

Results
ρ in g/cm³: 6.92

Lattice parameters (Å, degrees): 4.903 4.903 4.903 60.00 60.00 60.00
Atoms (fractional coordinates):
Ca  0.000  0.000  0.000
Ni  0.376  0.376  0.376
Ni  0.376  0.376  0.872
Ni  0.376  0.872  0.376
Ni  0.872  0.376  0.376
Ge  0.750  0.750  0.750

---

Going by the computed energies, the most stable comes first: P, Q.

---

## P
## CaNi2Ge4 (PBE)

Data for crystalline CaNi2Ge4 at its relaxed geometry.

Results
ρ in g/cm³: 6.42

Lattice parameters (Å, degrees): 17.026 4.146 6.564 90.00 90.00 90.00
Atoms (fractional coordinates):
Ca  0.142  0.250  0.001
Ca  0.358  0.750  0.501
Ca  0.642  0.250  0.499
Ca  0.858  0.750  0.999
Ni  0.033  0.750  0.246
Ni  0.211  0.250  0.519
Ni  0.289  0.750  0.019
Ni  0.467  0.250  0.746
Ni  0.533  0.750  0.254
Ni  0.711  0.250  0.981
Ni  0.789  0.750  0.481
Ni  0.967  0.250  0.754
Ge  0.031  0.750  0.861
Ge  0.066  0.250  0.480
Ge  0.180  0.750  0.311
Ge  0.196  0.750  0.720
Ge  0.304  0.250  0.220
Ge  0.320  0.250  0.811
Ge  0.434  0.750  0.980
Ge  0.469  0.250  0.361
Ge  0.531  0.750  0.639
Ge  0.566  0.250  0.020
Ge  0.680  0.750  0.189
Ge  0.696  0.750  0.780
Ge  0.804  0.250  0.280
Ge  0.820  0.250  0.689
Ge  0.934  0.750  0.520
Ge  0.969  0.250  0.139

---

## Q
## CaNi2Ge4 (PBE)

Data for crystalline CaNi2Ge4 at its relaxed geometry.

Results
ρ in g/cm³: 4.60

Lattice parameters (Å, degrees): 7.230 7.230 7.230 138.90 138.90 59.53
Atoms (fractional coordinates):
Ca  0.000  0.000  0.000
Ni  0.408  0.408  0.000
Ni  0.592  0.592  0.000
Ge  0.000  0.500  0.500
Ge  0.231  0.231  0.000
Ge  0.500  0.000  0.500
Ge  0.769  0.769  0.000

---

Going by the computed energies, the most stable comes first: P, Q.

---

## P
## Ca2Ni3Ge2 (PBE)

Data for crystalline Ca2Ni3Ge2 at its relaxed geometry.

Results
ρ in g/cm³: 5.21

Lattice parameters (Å, degrees): 9.045 4.017 7.038 90.00 90.00 90.00
Atoms (fractional coordinates):
Ca  0.000  0.000  0.000
Ca  0.250  0.500  0.330
Ca  0.500  0.000  0.000
Ca  0.750  0.500  0.670
Ni  0.074  0.500  0.654
Ni  0.250  0.000  0.685
Ni  0.426  0.500  0.654
Ni  0.574  0.500  0.346
Ni  0.750  0.000  0.315
Ni  0.926  0.500  0.346
Ge  0.000  0.000  0.500
Ge  0.250  0.500  0.900
Ge  0.500  0.000  0.500
Ge  0.750  0.500  0.100

---

## Q
## Ca2Ni3Ge2 (PBE)

Data for crystalline Ca2Ni3Ge2 at its relaxed geometry.

Results
ρ in g/cm³: 5.28

Lattice parameters (Å, degrees): 5.698 5.698 6.857 115.11 115.11 39.44
Atoms (fractional coordinates):
Ca  0.129  0.129  0.256
Ca  0.871  0.871  0.744
Ni  0.344  0.344  0.077
Ni  0.500  0.500  0.500
Ni  0.656  0.656  0.923
Ge  0.143  0.143  0.719
Ge  0.857  0.857  0.281

---

Going by the computed energies, the most stable comes first: P, Q.

---

## P
## Ca2GeO4 (PBE)

Data for crystalline Ca2GeO4 at its relaxed geometry.

Results
ρ in g/cm³: 3.45

Lattice parameters (Å, degrees): 11.525 6.841 5.297 90.00 90.00 90.00
Atoms (fractional coordinates):
Ca  0.000  0.000  0.000
Ca  0.000  0.500  0.000
Ca  0.220  0.250  0.493
Ca  0.280  0.750  0.993
Ca  0.500  0.000  0.500
Ca  0.500  0.500  0.500
Ca  0.720  0.250  0.007
Ca  0.780  0.750  0.507
Ge  0.096  0.750  0.431
Ge  0.404  0.250  0.931
Ge  0.596  0.750  0.069
Ge  0.904  0.250  0.569
O  0.046  0.250  0.714
O  0.093  0.750  0.764
O  0.163  0.543  0.283
O  0.163  0.957  0.283
O  0.337  0.043  0.783
O  0.337  0.457  0.783
O  0.407  0.250  0.264
O  0.454  0.750  0.214
O  0.546  0.250  0.786
O  0.593  0.750  0.736
O  0.663  0.543  0.217
O  0.663  0.957  0.217
O  0.837  0.043  0.717
O  0.837  0.457  0.717
O  0.907  0.250  0.236
O  0.954  0.750  0.286

---

## Q
## Ca2GeO4 (PBE)

Data for crystalline Ca2GeO4 at its relaxed geometry.

Results
ρ in g/cm³: 3.57

Lattice parameters (Å, degrees): 8.018 6.946 6.033 75.94 57.19 46.88
Atoms (fractional coordinates):
Ca  0.064  0.686  0.064
Ca  0.314  0.936  0.314
Ca  0.686  0.064  0.686
Ca  0.936  0.314  0.936
Ge  0.375  0.375  0.375
Ge  0.625  0.625  0.625
O  0.172  0.722  0.353
O  0.253  0.353  0.722
O  0.278  0.828  0.747
O  0.353  0.253  0.172
O  0.647  0.747  0.828
O  0.722  0.172  0.253
O  0.747  0.647  0.278
O  0.828  0.278  0.647

---

## R
## Ca2GeO4 (PBE)

Data for crystalline Ca2GeO4 at its relaxed geometry.

Results
ρ in g/cm³: 4.25

Lattice parameters (Å, degrees): 6.470 6.470 6.470 145.93 145.93 48.94
Atoms (fractional coordinates):
Ca  0.146  0.146  0.000
Ca  0.854  0.854  0.000
Ge  0.500  0.500  0.000
O  0.000  0.500  0.500
O  0.338  0.338  0.000
O  0.500  0.000  0.500
O  0.662  0.662  0.000

---

## S
## Ca2GeO4 (PBE)

Data for crystalline Ca2GeO4 at its relaxed geometry.

Results
ρ in g/cm³: 3.59

Lattice parameters (Å, degrees): 5.799 5.799 6.891 90.00 90.00 120.00
Atoms (fractional coordinates):
Ca  0.000  0.000  0.000
Ca  0.000  0.000  0.500
Ca  0.333  0.667  0.139
Ca  0.667  0.333  0.861
Ge  0.333  0.667  0.689
Ge  0.667  0.333  0.311
O  0.173  0.345  0.796
O  0.173  0.827  0.796
O  0.333  0.667  0.440
O  0.345  0.173  0.204
O  0.655  0.827  0.796
O  0.667  0.333  0.560
O  0.827  0.173  0.204
O  0.827  0.655  0.204

---

Going by the computed energies, the most stable comes first: P, Q, R, S.